An optimized crystal structure of MgCuN. Source: Alexandria via LeMat-Bulk, functional PBE.

Cell: 3.591 3.591 5.871 Å, 90.00 90.00 90.00°
Element x y z (fractional)
1 Mg 0.000 0.000 0.000
2 Mg 0.000 0.000 0.500
3 Cu 0.500 0.500 0.230
4 Cu 0.500 0.500 0.770
5 N 0.000 0.500 0.734
6 N 0.500 0.000 0.266

## Properties
theoretical density: 4469 kg/m3
energy: -4.889 eV/atom
space-group type: No. 115


An optimized crystal structure of MgCuN. Source: Alexandria via LeMat-Bulk, functional PBE.

Cell: 3.725 3.992 6.216 Å, 106.15 105.12 90.12°
Element x y z (fractional)
1 Mg 0.000 0.000 0.000
2 Mg 0.492 0.400 0.770
3 Cu 0.341 0.647 0.297
4 Cu 0.965 0.823 0.563
5 N 0.095 0.490 0.979
6 N 0.500 0.842 0.638

## Properties
theoretical density: 3960 kg/m3
energy: -4.788 eV/atom
space-group type: No. 1


An optimized crystal structure of MgCuN. Source: Alexandria via LeMat-Bulk, functional PBE.

Cell: 3.921 3.921 4.721 Å, 90.00 90.00 95.40°
Element x y z (fractional)
1 Mg 0.250 0.250 0.000
2 Mg 0.750 0.750 0.000
3 Cu 0.000 0.500 0.500
4 Cu 0.500 0.000 0.500
5 N 0.250 0.750 0.804
6 N 0.750 0.250 0.196

## Properties
theoretical density: 4682 kg/m3
energy: -4.915 eV/atom
space-group type: No. 67


An optimized crystal structure of MgCuN. Source: Alexandria via LeMat-Bulk, functional PBE.

Cell: 7.422 3.081 3.081 Å, 90.00 90.00 90.00°
Element x y z (fractional)
1 Mg 0.139 0.250 0.750
2 Mg 0.861 0.750 0.250
3 Cu 0.411 0.748 0.248
4 Cu 0.589 0.248 0.748
5 N 0.159 0.750 0.250
6 N 0.841 0.250 0.750

## Properties
theoretical density: 4801 kg/m3
energy: -4.764 eV/atom
space-group type: No. 39


An optimized crystal structure of Mg3CuN. Source: Alexandria via LeMat-Bulk, functional PBE.

Cell: 4.819 4.819 4.819 Å, 90.00 90.00 90.00°
Element x y z (fractional)
1 Mg 0.000 0.000 0.500
2 Mg 0.000 0.500 0.000
3 Mg 0.500 0.000 0.000
4 Cu 0.000 0.000 0.000
5 N 0.500 0.500 0.500

## Properties
theoretical density: 2233 kg/m3
distance to the lowest polymorph of the same formula: 1303 meV per atom
energy: -2.419 eV/atom
space-group type: No. 221


An optimized crystal structure of MgCuN. Source: Alexandria via LeMat-Bulk, functional PBE.

Cell: 3.668 3.850 5.208 Å, 86.64 82.64 87.04°
Element x y z (fractional)
1 Mg 0.000 0.000 0.000
2 Mg 0.435 0.308 0.415
3 Cu 0.489 0.507 0.886
4 Cu 0.858 0.774 0.509
5 N 0.543 0.017 0.777
6 N 0.985 0.481 0.221

## Properties
theoretical density: 4650 kg/m3
energy: -4.747 eV/atom
space-group type: No. 1


An optimized crystal structure of MgCu2N. Source: Alexandria via LeMat-Bulk, functional PBE.

Cell: 6.577 6.577 6.577 Å, 137.24 137.24 62.07°
Element x y z (fractional)
1 Mg 0.000 0.000 0.000
2 Mg 0.750 0.250 0.500
3 Cu 0.339 0.625 0.214
4 Cu 0.375 0.589 0.714
5 Cu 0.411 0.125 0.786
6 Cu 0.875 0.661 0.286
7 N 0.250 0.750 0.500
8 N 0.500 0.500 0.000

## Properties
theoretical density: 4239 kg/m3
distance to the lowest polymorph of the same formula: 0 meV per atom
energy: -4.169 eV/atom
space-group type: No. 122


An optimized crystal structure of MgCuNO2. Source: Alexandria via LeMat-Bulk, functional PBE.

Cell: 3.818 3.818 4.009 Å, 90.00 90.00 90.00°
Element x y z (fractional)
1 Mg 0.000 0.000 0.000
2 Cu 0.500 0.500 0.500
3 N 0.000 0.000 0.500
4 O 0.000 0.500 0.000
5 O 0.500 0.000 0.000

## Properties
theoretical density: 3803 kg/m3
energy: -4.211 eV/atom
space-group type: No. 123


An optimized crystal structure of MgCuN2O. Source: Alexandria via LeMat-Bulk, functional PBE.

Cell: 4.075 4.075 3.821 Å, 90.00 90.00 90.00°
Element x y z (fractional)
1 Mg 0.000 0.000 0.000
2 Cu 0.500 0.500 0.500
3 N 0.000 0.500 0.000
4 N 0.500 0.000 0.000
5 O 0.000 0.000 0.500

## Properties
theoretical density: 3451 kg/m3
energy: -4.188 eV/atom
space-group type: No. 123


An optimized crystal structure of MgCuNO2. Source: Alexandria via LeMat-Bulk, functional PBE.

Cell: 3.879 3.879 3.588 Å, 90.00 90.00 90.00°
Element x y z (fractional)
1 Mg 0.000 0.000 0.000
2 Cu 0.500 0.500 0.500
3 N 0.500 0.500 0.000
4 O 0.000 0.500 0.500
5 O 0.500 0.000 0.500

## Properties
theoretical density: 4116 kg/m3
energy: -4.798 eV/atom
space-group type: No. 123


An optimized crystal structure of MgCuN2O. Source: Alexandria via LeMat-Bulk, functional PBE.

Cell: 3.670 3.670 4.012 Å, 90.00 90.00 90.00°
Element x y z (fractional)
1 Mg 0.000 0.000 0.000
2 Cu 0.500 0.500 0.500
3 N 0.000 0.500 0.500
4 N 0.500 0.000 0.500
5 O 0.500 0.500 0.000

## Properties
theoretical density: 4052 kg/m3
energy: -4.688 eV/atom
space-group type: No. 123


An optimized crystal structure of MgPa2CuN5. Source: Alexandria via LeMat-Bulk, functional PBE.

Cell: 6.623 6.623 9.911 Å, 90.00 90.00 150.01°
Element x y z (fractional)
1 Mg 0.204 0.796 0.500
2 Mg 0.796 0.204 0.000
3 Pa 0.101 0.899 0.181
4 Pa 0.150 0.850 0.794
5 Pa 0.850 0.150 0.294
6 Pa 0.899 0.101 0.681
7 Cu 0.472 0.528 0.961
8 Cu 0.528 0.472 0.461
9 N 0.056 0.944 0.585
10 N 0.276 0.724 0.178
11 N 0.327 0.673 0.866
12 N 0.373 0.627 0.509
13 N 0.482 0.518 0.277
14 N 0.518 0.482 0.777
15 N 0.627 0.373 0.009
16 N 0.673 0.327 0.366
17 N 0.724 0.276 0.678
18 N 0.944 0.056 0.085

## Properties
theoretical density: 9475 kg/m3
energy: -8.194 eV/atom
space-group type: No. 36